DFT (GGA+U) results for a relaxed structure of NaFeO2.

Calculated volume (Å³ per cell): 58.3
Theoretical density (g cm⁻³): 3.16
Total energy (eV/atom): -5.00

abc: 6.467 6.467 6.467
angles: 29.55 29.55 29.55
Sites, in units of the cell vectors:
Na (0.000, 0.000, 0.000)
Fe (0.500, 0.500, 0.500)
O (0.407, 0.407, 0.407)
O (0.593, 0.593, 0.593)